A geometry-optimized YLuMgPb structure. Source: Alexandria, functional PBE-GGA.

a = 5.326 Å, b = 5.326 Å, c = 5.326 Å
α = 60.00°, β = 60.00°, γ = 60.00°
Element x y z (fractional)
1 Y 0.000 0.000 0.000
2 Lu 0.500 0.500 0.500
3 Mg 0.250 0.250 0.250
4 Pb 0.750 0.750 0.750

Properties
Energy of formation from the pure elements = -0.24 eV/atom